Here is Ba2CdPt after structural relaxation from Alexandria via LeMat-Bulk. Energies are from PBE-GGA.

Calculated volume ... 39.21 Å³ per atom
DOS at the Fermi energy ... 17.4 states/eV/cell
Calculated total energy ... -47.5 eV for the cell shown

Cell and atoms, written as CIF:
```
data_Ba2CdPt
_chemical_formula_sum 'Ba8 Cd4 Pt4'
_cell_length_a 8.9093
_cell_length_b 8.9093
_cell_length_c 7.9038
_cell_angle_alpha 90.00
_cell_angle_beta 90.00
_cell_angle_gamma 90.00
_symmetry_space_group_name_H-M 'I -4 2 d'
_symmetry_Int_Tables_number 122
_symmetry_space_group_name_Hall 'I -4 2bw'
loop_
_atom_site_label
_atom_site_type_symbol
_atom_site_fract_x
_atom_site_fract_y
_atom_site_fract_z
_atom_site_occupancy
Ba1 Ba 0.2027 0.7500 0.1250 1
Cd1 Cd 0.0000 0.0000 0.5000 1
Pt1 Pt 0.0000 0.0000 0.0000 1
```

---

Here is HoMg4Hg5 after structural relaxation from Alexandria via LeMat-Bulk. Energies are from PBE-GGA.

Calculated volume ... 22.13 Å³ per atom
DOS at the Fermi energy ... 4.1 states/eV/cell
Calculated total energy ... -15.3 eV for the cell shown

Cell and atoms, written as CIF:
```
data_HoMg4Hg5
_chemical_formula_sum 'Ho1 Mg4 Hg5'
_cell_length_a 3.5877
_cell_length_b 3.5877
_cell_length_c 17.1965
_cell_angle_alpha 90.00
_cell_angle_beta 90.00
_cell_angle_gamma 90.00
_symmetry_space_group_name_H-M 'P 4/m m m'
_symmetry_Int_Tables_number 123
_symmetry_space_group_name_Hall '-P 4 2'
loop_
_atom_site_label
_atom_site_type_symbol
_atom_site_fract_x
_atom_site_fract_y
_atom_site_fract_z
_atom_site_occupancy
Ho1 Ho 0.0000 0.0000 0.0000 1
Mg1 Mg 0.0000 0.0000 0.2087 1
Mg2 Mg 0.0000 0.0000 0.4031 1
Hg1 Hg 0.5000 0.5000 0.1107 1
Hg2 Hg 0.5000 0.5000 0.3055 1
Hg3 Hg 0.5000 0.5000 0.5000 1
```

---

Here is Ac3La2Ho after structural relaxation from Alexandria via LeMat-Bulk. Energies are from PBE-GGA.

Calculated volume ... 40.28 Å³ per atom
DOS at the Fermi energy ... 35.3 states/eV/cell
Calculated total energy ... -104.5 eV for the cell shown

Cell and atoms, written as CIF:
```
data_Ac3La2Ho
_chemical_formula_sum 'Ac12 La8 Ho4'
_cell_length_a 9.6073
_cell_length_b 10.7384
_cell_length_c 9.5697
_cell_angle_alpha 90.00
_cell_angle_beta 101.71
_cell_angle_gamma 90.00
_symmetry_space_group_name_H-M 'C 1 2/c 1'
_symmetry_Int_Tables_number 15
loop_
_symmetry_equiv_pos_as_xyz
'x,y,z'
'-x,-y,-z'
'-x,y,-z+1/2'
'x,-y,z+1/2'
'x+1/2,y+1/2,z'
'-x+1/2,-y+1/2,-z'
'-x+1/2,y+1/2,-z+1/2'
'x+1/2,-y+1/2,z+1/2'
loop_
_atom_site_label
_atom_site_type_symbol
_atom_site_fract_x
_atom_site_fract_y
_atom_site_fract_z
_atom_site_occupancy
Ac1 Ac 0.0000 0.0689 0.2500 1
Ac2 Ac 0.2215 0.4169 0.9838 1
La1 La 0.1335 0.2488 0.6181 1
Ho1 Ho 0.0000 0.3912 0.2500 1
```

---

Here is NpUOsRu after structural relaxation from Alexandria via LeMat-Bulk. Energies are from PBE-GGA.

Calculated volume ... 19.27 Å³ per atom
DOS at the Fermi energy ... 32.8 states/eV/cell
Calculated total energy ... -178.6 eV for the cell shown

Cell and atoms, written as CIF:
```
data_NpUOsRu
_chemical_formula_sum 'Np4 U4 Os4 Ru4'
_cell_length_a 6.7556
_cell_length_b 6.7556
_cell_length_c 6.7556
_cell_angle_alpha 90.00
_cell_angle_beta 90.00
_cell_angle_gamma 90.00
_symmetry_space_group_name_H-M 'F -4 3 m'
_symmetry_Int_Tables_number 216
_symmetry_space_group_name_Hall 'F -4 2 3'
loop_
_atom_site_label
_atom_site_type_symbol
_atom_site_fract_x
_atom_site_fract_y
_atom_site_fract_z
_atom_site_occupancy
Np1 Np 0.0000 0.0000 0.0000 1
U1 U 0.0000 0.0000 0.5000 1
Os1 Os 0.2500 0.2500 0.2500 1
Ru1 Ru 0.2500 0.2500 0.7500 1
```

---

Question: The lowest calculated total energy belongs to which entry?
Answer: NpUOsRu